a | Entry from Alexandria via LeMat-Bulk: crystalline InBiB2 at its relaxed geometry (PBE).

CIF file:
```
data_InBiB2
_space_group_name_H-M_alt 'F m -3 m'
_space_group_IT_number 225
_space_group_name_Hall '-F 4 2 3'
_cell_length_a 6.582
_cell_length_b 6.582
_cell_length_c 6.582
_cell_angle_alpha 90.00
_cell_angle_beta 90.00
_cell_angle_gamma 90.00
loop_
_atom_site_label
_atom_site_fract_x
_atom_site_fract_y
_atom_site_fract_z
_atom_site_occupancy
In1 0.000 0.000 0.000 1
Bi1 0.000 0.000 0.500 1
B1 0.250 0.250 0.250 1
```

## Properties
Crystal system: cubic
V (A^3/atom): 17.82

---

b | Entry from Alexandria via LeMat-Bulk: crystalline InBiB2 at its relaxed geometry (PBE).

CIF file:
```
data_InBiB2
_space_group_name_H-M_alt 'I -4 2 d'
_space_group_IT_number 122
_space_group_name_Hall 'I -4 2bw'
_cell_length_a 5.522
_cell_length_b 5.522
_cell_length_c 10.724
_cell_angle_alpha 90.00
_cell_angle_beta 90.00
_cell_angle_gamma 90.00
loop_
_atom_site_label
_atom_site_fract_x
_atom_site_fract_y
_atom_site_fract_z
_atom_site_occupancy
In1 0.000 0.000 0.000 1
Bi1 0.000 0.000 0.500 1
B1 0.245 0.250 0.125 1
```

## Properties
Crystal system: tetragonal
V (A^3/atom): 20.44

---

Name the most stable of them. b.

---

a | Entry from Alexandria via LeMat-Bulk: crystalline InBi3B at its relaxed geometry (PBE).

CIF file:
```
data_InBi3B
_space_group_name_H-M_alt 'P m -3 m'
_space_group_IT_number 221
_space_group_name_Hall '-P 4 2 3'
_cell_length_a 5.753
_cell_length_b 5.753
_cell_length_c 5.753
_cell_angle_alpha 90.00
_cell_angle_beta 90.00
_cell_angle_gamma 90.00
loop_
_atom_site_label
_atom_site_fract_x
_atom_site_fract_y
_atom_site_fract_z
_atom_site_occupancy
In1 0.000 0.000 0.000 1
Bi1 0.000 0.000 0.500 1
B1 0.500 0.500 0.500 1
```

## Properties
Crystal system: cubic
V (A^3/atom): 38.08

---

b | Entry from Alexandria via LeMat-Bulk: crystalline InBi3B at its relaxed geometry (PBE).

CIF file:
```
data_InBi3B
_space_group_name_H-M_alt 'P m -3 m'
_space_group_IT_number 221
_space_group_name_Hall '-P 4 2 3'
_cell_length_a 5.160
_cell_length_b 5.160
_cell_length_c 5.160
_cell_angle_alpha 90.00
_cell_angle_beta 90.00
_cell_angle_gamma 90.00
loop_
_atom_site_label
_atom_site_fract_x
_atom_site_fract_y
_atom_site_fract_z
_atom_site_occupancy
In1 0.000 0.000 0.000 1
Bi1 0.000 0.500 0.500 1
B1 0.500 0.500 0.500 1
```

## Properties
Crystal system: cubic
V (A^3/atom): 27.48

---

Name the most stable of them. b.